No. 1
# Ta2TiSn

An optimized crystal structure of Ta2TiSn (GGA-PBE, Alexandria).

space group = I-42d (122)

Cell lengths 10.5808, 10.5808, 10.5808 Å; angles 158.35, 158.35, 30.80 degrees
Last column: nearest neighbours and their distance in Å.
Positions (direct):
Ta  0.1202  0.6250  0.9952  4 Ta 2.78-2.84, 2 Ti 2.91, 2 Sn 2.92
Ta  0.3750  0.3702  0.4952  4 Ta 2.78-2.84, 2 Ti 2.91, 2 Sn 2.92
Ta  0.6298  0.1250  0.0048  4 Ta 2.78-2.84, 2 Ti 2.91, 2 Sn 2.92
Ta  0.8750  0.8798  0.5048  4 Ta 2.78-2.84, 2 Ti 2.91, 2 Sn 2.92
Ti  0.0000  0.0000  0.0000  4 Sn 2.81, 4 Ta 2.91
Ti  0.7500  0.2500  0.5000  4 Sn 2.81, 4 Ta 2.91
Sn  0.2500  0.7500  0.5000  4 Ti 2.81, 4 Ta 2.92
Sn  0.5000  0.5000  0.0000  4 Ti 2.81, 4 Ta 2.92


No. 2
# Ta2TiSn

An optimized crystal structure of Ta2TiSn (GGA-PBE, Alexandria).

space group = P4/mmm (123)

Cell lengths 4.0210, 4.0210, 4.5702 Å; angles 90.00, 90.00, 90.00 degrees
Last column: nearest neighbours and their distance in Å.
Positions (direct):
Ta  0.0000  0.5000  0.0000  4 Ta 2.84, 4 Sn 3.04, 4 Ti 3.04
Ta  0.5000  0.0000  0.0000  4 Ta 2.84, 4 Sn 3.04, 4 Ti 3.04
Ti  0.0000  0.0000  0.5000  4 Sn 2.84, 8 Ta 3.04
Sn  0.5000  0.5000  0.5000  4 Ti 2.84, 8 Ta 3.04


No. 3
# TaTl3Sn

An optimized crystal structure of TaTl3Sn (GGA-PBE, Alexandria).

space group = Pm-3m (221)
E above lowest polymorph = 0.720 eV/atom

Cell lengths 5.6911, 5.6911, 5.6911 Å; angles 90.00, 90.00, 90.00 degrees
Last column: nearest neighbours and their distance in Å.
Positions (direct):
Ta  0.0000  0.0000  0.0000  12 Tl 4.02
Tl  0.0000  0.5000  0.5000  2 Sn 2.85
Tl  0.5000  0.0000  0.5000  2 Sn 2.85
Tl  0.5000  0.5000  0.0000  2 Sn 2.85
Sn  0.5000  0.5000  0.5000  6 Tl 2.85


No. 4
# TaTl2Sn

An optimized crystal structure of TaTl2Sn (GGA-PBE, Alexandria).

space group = I-42d (122)
E above lowest polymorph = 0.000 eV/atom

Cell lengths 6.7506, 6.7506, 6.7506 Å; angles 100.62, 100.62, 129.16 degrees
Last column: nearest neighbours and their distance in Å.
Positions (direct):
Ta  0.0000  0.0000  0.0000  4 Tl 2.86, 2 Sn 2.90
Ta  0.7500  0.2500  0.5000  4 Tl 2.86, 2 Sn 2.90
Tl  0.0760  0.6250  0.9510  2 Ta 2.86, 2 Tl 3.02
Tl  0.3750  0.3260  0.4510  2 Ta 2.86, 2 Tl 3.02
Tl  0.6740  0.1250  0.0490  2 Ta 2.86, 2 Tl 3.02
Tl  0.8750  0.9240  0.5490  2 Ta 2.86, 2 Tl 3.02
Sn  0.2500  0.7500  0.5000  2 Ta 2.90
Sn  0.5000  0.5000  0.0000  2 Ta 2.90


So what do the calculations give for ΔH_f (0 K)? Going down the list: 408 -108 1475 758 meV per atom.